{"formula": "BeAlTe2", "functional": "GGA-PBE", "state": "optimized geometry", "cell": [[5.446, 0.000, 0.000], [0.000, 4.116, 0.017], [0.000, 0.613, 4.290]], "species": ["Be", "Te", "Te", "Al"], "fractional_positions": [[0.500, 0.802, 0.747], [0.000, 0.877, 0.893], [0.500, 0.367, 0.395], [0.000, 0.454, 0.465]], "formation_energy_uncorrected_ev_per_atom": -0.03, "e_above_lowest_polymorph_mev_per_atom": 60, "dos_ef_per_ev_cell": 0.67, "sg": "Pm", "e_tot_ev_per_atom": -3.468}